DFT (PBE-GGA) results for a relaxed LiTmTh2Se5 crystal.

Results
The uncorrected formation energy comes out at -1.599 eV/atom. The crystal system is orthorhombic. For the uncorrected energy, the calculation gives -212.14 eV per cell.

CIF file:
```
data_LiTmTh2Se5
_chemical_formula_sum 'Li4 Tm4 Th8 Se20'
_cell_length_a 4.020
_cell_length_b 17.222
_cell_length_c 12.529
_cell_angle_alpha 90.00
_cell_angle_beta 90.00
_cell_angle_gamma 90.00
_space_group_name_H-M_alt 'C m c 21'
_space_group_IT_number 36
loop_
_space_group_symop_operation_xyz
'x,y,z'
'-x,-y,z+1/2'
'-x,y,z'
'x,-y,z+1/2'
'x+1/2,y+1/2,z'
'-x+1/2,-y+1/2,z+1/2'
'-x+1/2,y+1/2,z'
'x+1/2,-y+1/2,z+1/2'
loop_
_atom_site_label
_atom_site_type_symbol
_atom_site_fract_x
_atom_site_fract_y
_atom_site_fract_z
_atom_site_occupancy
Li1 Li 0.000 0.010 0.000 1
Tm1 Tm 0.000 0.304 0.521 1
Th1 Th 0.000 0.370 0.817 1
Th2 Th 0.000 0.391 0.201 1
Se1 Se 0.000 0.000 0.306 1
Se2 Se 0.000 0.140 0.517 1
Se3 Se 0.000 0.192 0.863 1
Se4 Se 0.000 0.213 0.178 1
Se5 Se 0.000 0.454 0.593 1
```